A geometry-optimized NaPS2N structure. Source: Alexandria, functional PBE-GGA.

The structure in POSCAR format:
```
NaPS2N
1.0
4.9274 0.0000 0.0000
0.0000 4.9274 0.0000
0.0000 0.0000 3.2087
Na P S N
1 1 2 1
Direct
0.0000 0.0000 0.0000
0.5000 0.5000 0.5000
0.0000 0.5000 0.5000
0.5000 0.0000 0.5000
0.5000 0.5000 0.0000
```

Calculated values
**E_form (uncorrected)**: 0.183 eV per atom
**Mass density**: 2.8 g cm⁻³
**Distance to the lowest polymorph of the same formula**: 0.000 eV per atom
**SG**: No. 123

A geometry-optimized NaP2SN structure. Source: Alexandria, functional PBE-GGA.

The structure in POSCAR format:
```
NaP2SN
1.0
4.9985 0.0000 0.0000
0.0000 4.9985 0.0000
0.0000 0.0000 4.9043
Na P S N
1 2 1 1
Direct
0.0000 0.0000 0.0000
0.0000 0.5000 0.0000
0.5000 0.0000 0.0000
0.0000 0.0000 0.5000
0.5000 0.5000 0.5000
```

Calculated values
**E_form (uncorrected)**: 2.326 eV per atom
**Mass density**: 1.8 g cm⁻³
**Distance to the lowest polymorph of the same formula**: 1.557 eV per atom
**SG**: No. 123

A geometry-optimized NaScPN3 structure. Source: Alexandria, functional PBE-GGA.

The structure in POSCAR format:
```
NaScPN3
1.0
5.8407 -1.8006 0.0000
5.8407 1.8006 0.0000
-1.8551 0.0000 6.2456
Na Sc P N
2 2 2 6
Direct
0.1695 0.1695 0.0684
0.8305 0.8305 0.9316
0.1474 0.1474 0.5695
0.8526 0.8526 0.4305
0.4892 0.4892 0.8070
0.5108 0.5108 0.1930
0.0103 0.0103 0.2492
0.3418 0.3418 0.6665
0.3756 0.3756 0.2320
0.6244 0.6244 0.7680
0.6582 0.6582 0.3335
0.9897 0.9897 0.7508
```

Calculated values
**E_form (uncorrected)**: -0.494 eV per atom
**Mass density**: 3.6 g cm⁻³
**SG**: No. 12

A geometry-optimized NaPSe2N structure. Source: Alexandria, functional PBE-GGA.

The structure in POSCAR format:
```
NaPSe2N
1.0
5.3018 0.0000 0.0000
0.0000 5.3018 0.0000
0.0000 0.0000 3.2175
Na P Se N
1 1 2 1
Direct
0.0000 0.0000 0.0000
0.5000 0.5000 0.5000
0.0000 0.5000 0.5000
0.5000 0.0000 0.5000
0.5000 0.5000 0.0000
```

Calculated values
**E_form (uncorrected)**: 0.127 eV per atom
**Mass density**: 4.1 g cm⁻³
**Distance to the lowest polymorph of the same formula**: 0.000 eV per atom
**SG**: No. 123

A geometry-optimized NaPSe2N structure. Source: Alexandria, functional PBE-GGA.

The structure in POSCAR format:
```
NaPSe2N
1.0
5.1734 0.0000 0.0000
0.0000 5.1734 0.0000
0.0000 0.0000 4.1734
Na P Se N
1 1 2 1
Direct
0.0000 0.0000 0.0000
0.5000 0.5000 0.5000
0.0000 0.5000 0.0000
0.5000 0.0000 0.0000
0.0000 0.0000 0.5000
```

Calculated values
**E_form (uncorrected)**: 1.604 eV per atom
**Mass density**: 3.4 g cm⁻³
**Distance to the lowest polymorph of the same formula**: 1.478 eV per atom
**SG**: No. 123

A geometry-optimized NaSrPN2 structure. Source: Alexandria, functional PBE-GGA.

The structure in POSCAR format:
```
NaSrPN2
1.0
5.8265 0.0000 0.0000
0.0000 5.0640 0.0000
-0.0176 0.0000 7.4555
Na Sr P N
2 2 2 4
Direct
0.0000 0.0013 0.2500
0.0000 0.9987 0.7500
0.5000 0.4965 0.7500
0.5000 0.5035 0.2500
0.0000 0.5000 0.0000
0.0000 0.5000 0.5000
0.2261 0.3249 0.0007
0.2261 0.6751 0.5007
0.7739 0.3249 0.4993
0.7739 0.6751 0.9993
```

Calculated values
**E_form (uncorrected)**: -0.189 eV per atom
**Mass density**: 2.6 g cm⁻³
**SG**: No. 13

A geometry-optimized NaSrPN3 structure. Source: Alexandria, functional PBE-GGA.

The structure in POSCAR format:
```
NaSrPN3
1.0
2.9348 -5.3490 0.0000
2.9348 5.3490 0.0000
0.0000 0.0000 5.0783
Na Sr P N
2 2 2 6
Direct
0.0759 0.9241 0.7500
0.9241 0.0759 0.2500
0.2569 0.7431 0.2500
0.7431 0.2569 0.7500
0.4465 0.5535 0.7500
0.5535 0.4465 0.2500
0.2928 0.7072 0.7500
0.3059 0.3059 0.0000
0.3059 0.3059 0.5000
0.6941 0.6941 0.0000
0.6941 0.6941 0.5000
0.7072 0.2928 0.2500
```

Calculated values
**E_form (uncorrected)**: -0.316 eV per atom
**Mass density**: 3.8 g cm⁻³
**SG**: No. 63

A geometry-optimized Na2TaPN4 structure. Source: Alexandria, functional PBE-GGA.

The structure in POSCAR format:
```
Na2TaPN4
1.0
6.2547 0.0000 0.0000
0.0000 6.4359 0.0000
0.0000 0.0000 5.4557
Na Ta P N
4 2 2 8
Direct
0.2501 0.1670 0.0000
0.2499 0.8330 0.5000
0.7499 0.1670 0.0000
0.7501 0.8330 0.5000
0.0000 0.3624 0.4837
0.5000 0.6376 0.9837
0.0000 0.6630 0.9828
0.5000 0.3370 0.4828
0.0000 0.4464 0.1470
0.0000 0.6001 0.6896
0.2259 0.7930 0.0397
0.2741 0.2070 0.5397
0.5000 0.3999 0.1896
0.5000 0.5536 0.6470
0.7259 0.2070 0.5397
0.7741 0.7930 0.0397
```

Calculated values
**E_form (uncorrected)**: -0.690 eV per atom
**Mass density**: 4.7 g cm⁻³
**SG**: No. 31

A geometry-optimized NaTb2P2N6 structure. Source: Alexandria, functional PBE-GGA.

The structure in POSCAR format:
```
NaTb2P2N6
1.0
5.8022 0.0000 0.0000
-2.6790 5.5298 0.0000
-2.3847 -2.1294 5.4207
Na Tb P N
1 2 2 6
Direct
0.0000 0.0000 0.0000
0.3701 0.6679 0.2979
0.6299 0.3321 0.7021
0.2976 0.7392 0.7415
0.7024 0.2608 0.2585
0.1467 0.6917 0.9055
0.2573 0.8919 0.5604
0.4911 0.6268 0.7235
0.5089 0.3732 0.2765
0.7427 0.1081 0.4396
0.8533 0.3083 0.0945
```

Calculated values
**E_form (uncorrected)**: -0.747 eV per atom
**Mass density**: 4.6 g cm⁻³
**SG**: No. 2

A geometry-optimized NaTe2PN structure. Source: Alexandria, functional PBE-GGA.

The structure in POSCAR format:
```
NaTe2PN
1.0
5.5254 0.0000 0.0000
0.0000 5.5254 0.0000
0.0000 0.0000 4.1929
Na Te P N
1 2 1 1
Direct
0.0000 0.0000 0.0000
0.0000 0.5000 0.0000
0.5000 0.0000 0.0000
0.5000 0.5000 0.5000
0.0000 0.0000 0.5000
```

Calculated values
**E_form (uncorrected)**: 1.524 eV per atom
**Mass density**: 4.2 g cm⁻³
**Distance to the lowest polymorph of the same formula**: 1.381 eV per atom
**SG**: No. 123

A geometry-optimized NaTe2PN structure. Source: Alexandria, functional PBE-GGA.

The structure in POSCAR format:
```
NaTe2PN
1.0
5.8782 0.0000 0.0000
0.0000 5.8782 0.0000
0.0000 0.0000 3.2535
Na Te P N
1 2 1 1
Direct
0.0000 0.0000 0.0000
0.0000 0.5000 0.5000
0.5000 0.0000 0.5000
0.5000 0.5000 0.5000
0.5000 0.5000 0.0000
```

Calculated values
**E_form (uncorrected)**: 0.142 eV per atom
**Mass density**: 4.8 g cm⁻³
**Distance to the lowest polymorph of the same formula**: 0.000 eV per atom
**SG**: No. 123

A geometry-optimized NaTh2P2N6 structure. Source: Alexandria, functional PBE-GGA.

The structure in POSCAR format:
```
NaTh2P2N6
1.0
5.8112 0.0000 0.0000
-1.8568 5.5235 0.0000
-2.4397 -2.0665 5.3788
Na Th P N
1 2 2 6
Direct
0.0000 0.0000 0.0000
0.4333 0.2714 0.6786
0.5667 0.7286 0.3214
0.0128 0.5248 0.3179
0.9872 0.4752 0.6821
0.1801 0.8345 0.3851
0.2113 0.3819 0.3223
0.3110 0.6043 0.8814
0.6890 0.3957 0.1186
0.7887 0.6181 0.6777
0.8199 0.1655 0.6149
```

Calculated values
**E_form (uncorrected)**: -0.922 eV per atom
**Mass density**: 6.1 g cm⁻³
**SG**: No. 2